[1]
# Na3Se5 | Alexandria via LeMat-Bulk | PBE | relaxed
# **Crystal system**: orthorhombic
# **DOS(E_F)**: 3.29 states/eV/f.u.
# **E_form (uncorrected)**: -4.48 eV per formula unit
data_Na3Se5
_chemical_formula_sum 'Na24 Se40'
_space_group_name_H-M_alt 'F d d 2'
_space_group_IT_number 43
_space_group_name_Hall 'F 2 -2d'
_cell_length_a 6.134
_cell_length_b 17.672
_cell_length_c 15.284
_cell_angle_alpha 90.00
_cell_angle_beta 90.00
_cell_angle_gamma 90.00
loop_
_atom_site_label
_atom_site_fract_x
_atom_site_fract_y
_atom_site_fract_z
Na1 0.000 0.000 0.000
Na2 0.044 0.159 0.555
Se1 0.000 0.000 0.489
Se2 0.022 0.174 0.073
Se3 0.084 0.209 0.921


[2]
# NaSe | Alexandria via LeMat-Bulk | PBE | relaxed
# **Crystal system**: monoclinic
# **E_form (uncorrected)**: -1.52 eV per formula unit
data_NaSe
_chemical_formula_sum 'Na4 Se4'
_space_group_name_H-M_alt 'C 1 2/m 1'
_space_group_IT_number 12
_space_group_name_Hall '-C 2y'
_cell_length_a 7.030
_cell_length_b 5.324
_cell_length_c 6.601
_cell_angle_alpha 90.00
_cell_angle_beta 122.09
_cell_angle_gamma 90.00
loop_
_atom_site_label
_atom_site_fract_x
_atom_site_fract_y
_atom_site_fract_z
Na1 0.000 0.000 0.000
Na2 0.000 0.500 0.500
Se1 0.179 0.000 0.694


[3]
# Na2Se | Alexandria via LeMat-Bulk | PBE | relaxed
# **Crystal system**: cubic
# **DOS(E_F)**: 0.00 states/eV/f.u.
# **E_form (uncorrected)**: -3.20 eV per formula unit
data_Na2Se
_chemical_formula_sum 'Na8 Se4'
_space_group_name_H-M_alt 'F m -3 m'
_space_group_IT_number 225
_space_group_name_Hall '-F 4 2 3'
_cell_length_a 6.853
_cell_length_b 6.853
_cell_length_c 6.853
_cell_angle_alpha 90.00
_cell_angle_beta 90.00
_cell_angle_gamma 90.00
loop_
_atom_site_label
_atom_site_fract_x
_atom_site_fract_y
_atom_site_fract_z
Na1 0.250 0.250 0.250
Se1 0.000 0.000 0.000


[4]
# Na2Se3 | Alexandria via LeMat-Bulk | PBE | relaxed
# **Crystal system**: orthorhombic
# **DOS(E_F)**: 2.50 states/eV/f.u.
# **E_form (uncorrected)**: -2.94 eV per formula unit
data_Na2Se3
_chemical_formula_sum 'Na8 Se12'
_space_group_name_H-M_alt 'C m c 21'
_space_group_IT_number 36
_space_group_name_Hall 'C 2c -2'
_cell_length_a 8.496
_cell_length_b 7.401
_cell_length_c 8.047
_cell_angle_alpha 90.00
_cell_angle_beta 90.00
_cell_angle_gamma 90.00
loop_
_atom_site_label
_atom_site_fract_x
_atom_site_fract_y
_atom_site_fract_z
Na1 0.250 0.146 0.000
Se1 0.000 0.100 0.677
Se2 0.000 0.252 0.249
Se3 0.000 0.399 0.824


[5]
# Na2Se | Alexandria via LeMat-Bulk | PBE | relaxed
# **Crystal system**: tetragonal
# **E_form (uncorrected)**: -2.64 eV per formula unit
data_Na2Se
_chemical_formula_sum 'Na4 Se2'
_space_group_name_H-M_alt 'I 4/m m m'
_space_group_IT_number 139
_space_group_name_Hall '-I 4 2'
_cell_length_a 4.082
_cell_length_b 4.082
_cell_length_c 8.524
_cell_angle_alpha 90.00
_cell_angle_beta 90.00
_cell_angle_gamma 90.00
loop_
_atom_site_label
_atom_site_fract_x
_atom_site_fract_y
_atom_site_fract_z
Na1 0.000 0.000 0.156
Se1 0.000 0.000 0.500


[6]
# NaSe | Alexandria via LeMat-Bulk | PBE | relaxed
# **Crystal system**: hexagonal
# **DOS(E_F)**: 0.51 states/eV/f.u.
# **E_form (uncorrected)**: -1.59 eV per formula unit
data_NaSe
_chemical_formula_sum 'Na2 Se2'
_space_group_name_H-M_alt 'P 63/m m c'
_space_group_IT_number 194
_space_group_name_Hall '-P 6c 2c'
_cell_length_a 4.6952
_cell_length_b 4.6952
_cell_length_c 5.4335
_cell_angle_alpha 90.00
_cell_angle_beta 90.00
_cell_angle_gamma 120.00
loop_
_atom_site_label
_atom_site_fract_x
_atom_site_fract_y
_atom_site_fract_z
Na1 0.3333 0.6667 0.2500
Se1 0.0000 0.0000 0.0000


[7]
# NaSi2Se | Alexandria via LeMat-Bulk | PBE | relaxed
# **Crystal system**: tetragonal
# **DOS(E_F)**: 2.08 states/eV/f.u.
# **E_form (uncorrected)**: 1.06 eV per formula unit
data_NaSi2Se
_chemical_formula_sum 'Na4 Si8 Se4'
_space_group_name_H-M_alt 'I -4 2 d'
_space_group_IT_number 122
_space_group_name_Hall 'I -4 2bw'
_cell_length_a 8.015
_cell_length_b 8.015
_cell_length_c 5.354
_cell_angle_alpha 90.00
_cell_angle_beta 90.00
_cell_angle_gamma 90.00
loop_
_atom_site_label
_atom_site_fract_x
_atom_site_fract_y
_atom_site_fract_z
Na1 0.000 0.000 0.000
Si1 0.210 0.750 0.625
Se1 0.000 0.000 0.500


[8]
# NaSiSe3 | Alexandria via LeMat-Bulk | PBE | relaxed
# **Crystal system**: hexagonal
# **ΔE to the lowest computed polymorph**: 0 meV/atom
# **DOS(E_F)**: 4.23 states/eV/f.u.
# **E_form (uncorrected)**: -1.88 eV per formula unit
data_NaSiSe3
_chemical_formula_sum 'Na2 Si2 Se6'
_space_group_name_H-M_alt 'P 63 2 2'
_space_group_IT_number 182
_space_group_name_Hall 'P 6c 2c'
_cell_length_a 7.1506
_cell_length_b 7.1506
_cell_length_c 6.1983
_cell_angle_alpha 90.00
_cell_angle_beta 90.00
_cell_angle_gamma 120.00
loop_
_atom_site_label
_atom_site_fract_x
_atom_site_fract_y
_atom_site_fract_z
Na1 0.3333 0.6667 0.2500
Si1 0.0000 0.0000 0.2500
Se1 0.0000 0.2651 0.5000


[9]
# NaSiSe3 | Alexandria via LeMat-Bulk | PBE | relaxed
# **Crystal system**: cubic
# **ΔE to the lowest computed polymorph**: 222 meV/atom
# **DOS(E_F)**: 3.17 states/eV/f.u.
# **E_form (uncorrected)**: -0.77 eV per formula unit
data_NaSiSe3
_chemical_formula_sum 'Na1 Si1 Se3'
_space_group_name_H-M_alt 'P m -3 m'
_space_group_IT_number 221
_space_group_name_Hall '-P 4 2 3'
_cell_length_a 4.939
_cell_length_b 4.939
_cell_length_c 4.939
_cell_angle_alpha 90.00
_cell_angle_beta 90.00
_cell_angle_gamma 90.00
loop_
_atom_site_label
_atom_site_fract_x
_atom_site_fract_y
_atom_site_fract_z
Na1 0.000 0.000 0.000
Si1 0.500 0.500 0.500
Se1 0.000 0.500 0.500


[10]
# Na3SiSe4 | Alexandria via LeMat-Bulk | PBE | relaxed
# **Crystal system**: orthorhombic
# **ΔE to the lowest computed polymorph**: 100 meV/atom
# **DOS(E_F)**: 5.46 states/eV/f.u.
# **E_form (uncorrected)**: -6.19 eV per formula unit
data_Na3SiSe4
_chemical_formula_sum 'Na12 Si4 Se16'
_space_group_name_H-M_alt 'P n m a'
_space_group_IT_number 62
_space_group_name_Hall '-P 2ac 2n'
_cell_length_a 8.592
_cell_length_b 10.298
_cell_length_c 9.637
_cell_angle_alpha 90.00
_cell_angle_beta 90.00
_cell_angle_gamma 90.00
loop_
_atom_site_label
_atom_site_fract_x
_atom_site_fract_y
_atom_site_fract_z
Na1 0.094 0.045 0.226
Na2 0.140 0.750 0.434
Si1 0.202 0.750 0.985
Se1 0.000 0.250 0.861
Se2 0.139 0.750 0.756
Se3 0.163 0.064 0.539


[11]
# NaSi2Se4 | Alexandria via LeMat-Bulk | PBE | relaxed
# **Crystal system**: tetragonal
# **DOS(E_F)**: 2.71 states/eV/f.u.
# **E_form (uncorrected)**: -3.37 eV per formula unit
data_NaSi2Se4
_chemical_formula_sum 'Na2 Si4 Se8'
_space_group_name_H-M_alt 'I 4/m'
_space_group_IT_number 87
_space_group_name_Hall '-I 4'
_cell_length_a 7.977
_cell_length_b 7.977
_cell_length_c 6.094
_cell_angle_alpha 90.00
_cell_angle_beta 90.00
_cell_angle_gamma 90.00
loop_
_atom_site_label
_atom_site_fract_x
_atom_site_fract_y
_atom_site_fract_z
Na1 0.000 0.000 0.000
Si1 0.000 0.500 0.250
Se1 0.157 0.666 0.500